TlP2SCl (GGA-PBE, optimized geometry); energy relative to the elements, uncorrected = 1.306 eV per atom; ΔE to the lowest computed polymorph = 4.58 eV/f.u.; space group = P4/mmm (123); VASP energy = -12.6 eV/cell; spin magnetization = 2.23 μB/cell
1.0
5.3604 0.0000 0.0000
0.0000 5.3604 0.0000
0.0000 0.0000 5.0612
Tl P S Cl
1 2 1 1
direct
0.0000 0.0000 0.0000
0.0000 0.5000 0.0000
0.5000 0.0000 0.0000
0.0000 0.0000 0.5000
0.5000 0.5000 0.5000

TmPS4Cl (GGA-PBE, optimized geometry); energy relative to the elements, uncorrected = -0.817 eV per atom; space group = C2/m (12); VASP energy = -67.9 eV/cell; spin magnetization = 0.00 μB/cell
1.0
5.1817 -4.3307 0.0000
5.1817 4.3307 0.0000
-1.2894 0.0000 8.7922
Tm P S Cl
2 2 8 2
direct
0.1903 0.1903 0.0553
0.8097 0.8097 0.9447
0.3904 0.3904 0.7583
0.6096 0.6096 0.2417
0.1490 0.5076 0.8890
0.3023 0.3023 0.5432
0.4204 0.4204 0.2751
0.4924 0.8510 0.1110
0.5076 0.1490 0.8890
0.5796 0.5796 0.7249
0.6977 0.6977 0.4568
0.8510 0.4924 0.1110
0.0153 0.0153 0.8087
0.9847 0.9847 0.1913

UPS4Cl (GGA-PBE, optimized geometry); energy relative to the elements, uncorrected = -0.730 eV per atom; space group = C2/m (12); VASP energy = -80.3 eV/cell; spin magnetization = 4.00 μB/cell
1.0
5.3929 -4.2946 0.0000
5.3929 4.2946 0.0000
-2.0194 0.0000 7.5845
U P S Cl
2 2 8 2
direct
0.2152 0.2152 0.1233
0.7848 0.7848 0.8767
0.3567 0.3567 0.7221
0.6433 0.6433 0.2779
0.1456 0.5000 0.8930
0.2200 0.2200 0.4913
0.4617 0.4617 0.3058
0.5000 0.1456 0.8930
0.5000 0.8544 0.1070
0.5383 0.5383 0.6942
0.7800 0.7800 0.5087
0.8544 0.5000 0.1070
0.0238 0.0238 0.8093
0.9762 0.9762 0.1907

VP2SCl (GGA-PBE, optimized geometry); energy relative to the elements, uncorrected = 0.158 eV per atom; ΔE to the lowest computed polymorph = 0.00 eV/f.u.; space group = P4/mmm (123); VASP energy = -25.1 eV/cell; spin magnetization = 0.00 μB/cell
1.0
4.6206 0.0000 0.0000
0.0000 4.6206 0.0000
0.0000 0.0000 4.4036
V P S Cl
1 2 1 1
direct
0.0000 0.0000 0.0000
0.0000 0.5000 0.0000
0.5000 0.0000 0.0000
0.0000 0.0000 0.5000
0.5000 0.5000 0.5000

VPS2Cl (GGA-PBE, optimized geometry); energy relative to the elements, uncorrected = 0.424 eV per atom; ΔE to the lowest computed polymorph = 1.80 eV/f.u.; space group = P4/mmm (123); VASP energy = -22.5 eV/cell; spin magnetization = 3.10 μB/cell
1.0
4.6468 0.0000 0.0000
0.0000 4.6468 0.0000
0.0000 0.0000 4.4714
V P S Cl
1 1 2 1
direct
0.0000 0.0000 0.0000
0.5000 0.5000 0.5000
0.0000 0.5000 0.5000
0.5000 0.0000 0.5000
0.5000 0.5000 0.0000

VP2SCl (GGA-PBE, optimized geometry); energy relative to the elements, uncorrected = 1.092 eV per atom; ΔE to the lowest computed polymorph = 4.67 eV/f.u.; space group = P4/mmm (123); VASP energy = -20.5 eV/cell; spin magnetization = 0.04 μB/cell
1.0
4.4886 0.0000 0.0000
0.0000 4.4886 0.0000
0.0000 0.0000 4.5928
V P S Cl
1 2 1 1
direct
0.0000 0.0000 0.0000
0.0000 0.5000 0.5000
0.5000 0.0000 0.5000
0.5000 0.5000 0.5000
0.5000 0.5000 0.0000

VP2SCl (GGA-PBE, optimized geometry); energy relative to the elements, uncorrected = 0.388 eV per atom; ΔE to the lowest computed polymorph = 1.15 eV/f.u.; space group = P4/mmm (123); VASP energy = -24.0 eV/cell; spin magnetization = 0.00 μB/cell
1.0
4.6639 0.0000 0.0000
0.0000 4.6639 0.0000
0.0000 0.0000 4.3637
V P S Cl
1 2 1 1
direct
0.0000 0.0000 0.0000
0.0000 0.5000 0.0000
0.5000 0.0000 0.0000
0.5000 0.5000 0.5000
0.0000 0.0000 0.5000

VPS2Cl (GGA-PBE, optimized geometry); energy relative to the elements, uncorrected = 1.381 eV per atom; ΔE to the lowest computed polymorph = 6.58 eV/f.u.; space group = P4/mmm (123); VASP energy = -17.7 eV/cell; spin magnetization = 0.17 μB/cell
1.0
4.5878 0.0000 0.0000
0.0000 4.5878 0.0000
0.0000 0.0000 4.4681
V P S Cl
1 1 2 1
direct
0.0000 0.0000 0.0000
0.5000 0.5000 0.0000
0.0000 0.5000 0.5000
0.5000 0.0000 0.5000
0.5000 0.5000 0.5000